No. 1
LiSmEuRu: optimized geometry, GGA-PBE.

Computed properties:
Total moment: 6.9 μB/f.u.
VASP energy: -0.48410 Ry/atom

Cell: 7.1228 7.1228 7.1228 Å, 90.00 90.00 90.00°
Closest atoms and distances in Å follow each position.
Space group F-43m (No. 216)
Asymmetric unit:
Li 0.0000 0.0000 0.0000 x4  4 Sm 3.08, 4 Eu 3.08
Sm 0.2500 0.2500 0.7500 x4  4 Li 3.08, 4 Ru 3.08
Eu 0.2500 0.2500 0.2500 x4  4 Li 3.08, 4 Ru 3.08
Ru 0.0000 0.0000 0.5000 x4  4 Sm 3.08, 4 Eu 3.08



No. 2
LaMo: optimized geometry, GGA-PBE.

Computed properties:
Total moment: 0.0 μB/f.u.
VASP energy: -0.56113 Ry/atom
Relative energy among the computed polymorphs: 4 meV/atom

Cell: 3.2994 18.3955 3.3112 Å, 90.00 90.00 90.00°
Closest atoms and distances in Å follow each position.
Space group Cmcm (No. 63)
Asymmetric unit:
La 0.0000 0.0968 0.2500 x4  5 Mo 3.19-3.47, 4 La 3.30-3.31
Mo 0.0000 0.2853 0.2500 x4  4 Mo 2.67



No. 3
HfZr2TaN: optimized geometry, GGA-PBE.

Computed properties:
Total moment: 0.0 μB/f.u.
VASP energy: -0.73963 Ry/atom
E_form (uncorrected): -3.09 eV per formula unit
Relative energy among the computed polymorphs: 35 meV/atom

Cell: 4.6254 4.6254 4.2193 Å, 90.00 90.00 90.00°
Closest atoms and distances in Å follow each position.
Space group P4/mmm (No. 123)
Asymmetric unit:
Hf 0.0000 0.0000 0.0000 x1  8 Zr 3.13, 4 Ta 3.27
Zr 0.0000 0.5000 0.5000 x2  2 N 2.31
Ta 0.5000 0.5000 0.0000 x1  2 N 2.11
N 0.5000 0.5000 0.5000 x1  2 Ta 2.11, 4 Zr 2.31



No. 4
La4Pm5Sm3: optimized geometry, GGA-PBE.

Computed properties:
Total moment: 0.0 μB/f.u.
VASP energy: -0.33876 Ry/atom
Relative energy among the computed polymorphs: 175 meV/atom

Cell: 16.5354 6.1054 9.5320 Å, 90.00 116.46 90.00°
Closest atoms and distances in Å follow each position.
Space group C2/m (No. 12)
Asymmetric unit:
La 0.0835 0.0000 0.4392 x4  2 La 3.44-3.76, 1 Sm 3.49, 6 Pm 3.50-3.84
La 0.2136 0.0000 0.8782 x4  3 Sm 3.35-3.62, 2 La 3.70, 2 Pm 3.75
Pm 0.0000 0.0000 0.0000 x2  4 Sm 3.05-3.15
Pm 0.0735 0.5000 0.6998 x4  2 Sm 3.35-3.57, 2 Pm 3.49-3.75
Pm 0.1714 0.5000 0.3903 x4  4 Sm 3.30-3.61, 3 La 3.50-3.63
Sm 0.0000 0.5000 0.0000 x2  2 Pm 3.05
Sm 0.2086 0.0000 0.2258 x4  3 Pm 3.15-3.35, 2 La 3.35-3.49



No. 5
CdCo2Rh: optimized geometry, GGA-PBE.

Computed properties:
Total moment: 4.2 μB/f.u.
VASP energy: -0.39800 Ry/atom

Cell: 2.7488 2.7488 26.0134 Å, 90.00 90.00 120.00°
Closest atoms and distances in Å follow each position.
Space group R3m (No. 160, hexagonal axes)
Asymmetric unit:
Cd 0.0000 0.0000 0.0000 x3  6 Cd 2.75, 3 Co 2.83, 3 Rh 2.91
Co 0.0000 0.0000 0.4944 x3  3 Co 2.43, 3 Rh 2.58
Co 0.0000 0.0000 0.7569 x3  3 Co 2.43
Rh 0.0000 0.0000 0.2394 x3  3 Co 2.58, 6 Rh 2.75



No. 6
SrPrRh: optimized geometry, GGA-PBE.

Computed properties:
Total moment: 0.0 μB/f.u.
VASP energy: -0.36346 Ry/atom
Relative energy among the computed polymorphs: 0 meV/atom

Cell: 4.1965 4.1965 6.8360 Å, 90.00 90.00 120.00°
Closest atoms and distances in Å follow each position.
Space group P3m1 (No. 156)
Asymmetric unit:
Sr 0.0000 0.0000 0.0000 x1  3 Rh 3.04
Pr 0.3333 0.6667 0.4739 x1  3 Rh 2.80
Rh 0.6667 0.3333 0.2679 x1  3 Pr 2.80, 3 Sr 3.04



No. 7
K2Ti3Br9: optimized geometry, GGA-PBE.

Computed properties:
Total moment: 2.0 μB/f.u.
VASP energy: -0.30929 Ry/atom
E_form (uncorrected): -17.98 eV per formula unit

Cell: 10.7801 17.8300 10.1923 Å, 90.00 114.06 90.00°
Closest atoms and distances in Å follow each position.
Space group C2/m (No. 12)
Asymmetric unit:
K 0.1037 0.1644 0.3235 x8  5 Br 3.25-3.62
Ti 0.1415 0.5000 0.8749 x4  5 Br 2.55-2.66
Ti 0.1433 0.4132 0.1452 x8  5 Br 2.54-2.76
Br 0.0000 0.3018 0.0000 x4  2 Ti 2.58
Br 0.0092 0.4018 0.3018 x8  2 Ti 2.56
Br 0.1869 0.0000 0.6709 x4  2 Ti 2.54
Br 0.1969 0.1038 0.9818 x8  2 Ti 2.55-2.56
Br 0.1972 0.1967 0.6746 x8  1 Ti 2.76
Br 0.2140 0.0000 0.2831 x4  1 Ti 2.66



No. 8
Sr2Si2BOs2: optimized geometry, GGA-PBE.

Computed properties:
Total moment: 0.0 μB/f.u.
VASP energy: -0.48742 Ry/atom
E_form (uncorrected): -3.07 eV per formula unit

Cell: 11.4597 4.2903 7.5363 Å, 90.00 129.21 90.00°
Closest atoms and distances in Å follow each position.
Space group C2/m (No. 12)
Asymmetric unit:
Sr 0.0671 0.0000 0.3142 x4  2 B 2.92, 1 Si 3.18
Si 0.1855 0.5000 0.7526 x4  3 Os 2.39-2.40
B 0.0000 0.5000 0.0000 x2  2 Os 1.99
Os 0.2043 0.5000 0.0891 x4  1 B 1.99



No. 9
CsRbInBr4: optimized geometry, GGA-PBE.

Computed properties:
Total moment: 0.0 μB/f.u.
VASP energy: -0.21641 Ry/atom
E_form (uncorrected): -9.36 eV per formula unit

Cell: 8.0191 18.0838 8.0304 Å, 90.00 90.00 90.00°
Closest atoms and distances in Å follow each position.
Space group Cmcm (No. 63)
Asymmetric unit:
Cs 0.0000 0.1064 0.2500 x4  5 Br 3.55-3.85
Rb 0.0000 0.3906 0.2500 x4  5 Br 3.49-3.81
In 0.0000 0.2521 0.7500 x4  6 Br 2.84-2.98
Br 0.0000 0.0901 0.7500 x4  1 In 2.93
Br 0.0000 0.4166 0.7500 x4  1 In 2.98
Br 0.2500 0.2500 0.0000 x8  2 In 2.84



No. 10
BaCu2Ru: optimized geometry, GGA-PBE.

Computed properties:
Total moment: 0.5 μB/f.u.
VASP energy: -0.30404 Ry/atom
Relative energy among the computed polymorphs: 511 meV/atom

Cell: 6.0105 7.2700 3.4773 Å, 90.00 90.00 90.00°
Closest atoms and distances in Å follow each position.
Space group Cmmm (No. 65)
Asymmetric unit:
Ba 0.0000 0.0000 0.0000 x2  8 Cu 2.93, 2 Ru 3.01
Cu 0.2500 0.2500 0.5000 x4  4 Ba 2.93, 4 Ru 2.93, 2 Cu 3.01
Ru 0.0000 0.5000 0.0000 x2  8 Cu 2.93, 2 Ba 3.01



No. 11
Zn2In2Ir: optimized geometry, GGA-PBE.

Computed properties:
Total moment: 0.0 μB/f.u.
VASP energy: -0.23496 Ry/atom
Relative energy among the computed polymorphs: 0 meV/atom

Cell: 6.6906 6.6906 4.1543 Å, 90.00 90.00 90.00°
Closest atoms and distances in Å follow each position.
Space group P4/mbm (No. 127)
Asymmetric unit:
Zn 0.1374 0.3626 0.0000 x4  2 Ir 2.59, 1 Zn 2.60, 2 In 2.73
In 0.1747 0.6747 0.5000 x4  6 Zn 2.73-2.96
Ir 0.0000 0.0000 0.0000 x2  4 Zn 2.59



No. 12
La3HgB: optimized geometry, GGA-PBE.

Computed properties:
Total moment: 0.0 μB/f.u.
VASP energy: -0.32598 Ry/atom
Relative energy among the computed polymorphs: 0 meV/atom

Cell: 5.3165 5.3165 5.3165 Å, 90.00 90.00 90.00°
Closest atoms and distances in Å follow each position.
Space group Pm-3m (No. 221)
Asymmetric unit:
La 0.0000 0.0000 0.5000 x3  2 B 2.66
Hg 0.5000 0.5000 0.5000 x1  12 La 3.76
B 0.0000 0.0000 0.0000 x1  6 La 2.66



No. 13
In2PHPt6: optimized geometry, GGA-PBE.

Computed properties:
Total moment: 0.0 μB/f.u.
VASP energy: -0.39351 Ry/atom

Cell: 5.5409 5.6689 5.6932 Å, 95.81 106.04 106.79°
Closest atoms and distances in Å follow each position.
Space group P1 (No. 1)
Asymmetric unit:
In 0.0000 0.0000 0.0000 x1  1 H 2.31
In 0.0551 0.5925 0.3847 x1  7 Pt 2.79-3.09, 1 H 2.86
P 0.3726 0.3384 0.7777 x1  6 Pt 2.30-2.45
H 0.2660 0.7513 0.0008 x1  2 Pt 1.72-1.82
Pt 0.0145 0.4718 0.8585 x1  1 H 1.72
Pt 0.5323 0.1013 0.5480 x1  1 P 2.30
Pt 0.5719 0.6795 0.1171 x1  1 H 1.82
Pt 0.5853 0.1731 0.0952 x1  1 P 2.31, 1 H 2.43
Pt 0.5928 0.6409 0.5966 x1  1 P 2.31
Pt 0.9888 0.0570 0.4868 x1  1 P 2.32



No. 14
AcPuCuP: optimized geometry, GGA-PBE.

Computed properties:
Total moment: 6.7 μB/f.u.
VASP energy: -0.54269 Ry/atom

Cell: 7.2681 7.2681 7.2681 Å, 90.00 90.00 90.00°
Closest atoms and distances in Å follow each position.
Space group F-43m (No. 216)
Asymmetric unit:
Ac 0.0000 0.0000 0.0000 x4  4 Cu 3.15, 4 P 3.15
Pu 0.0000 0.0000 0.5000 x4  4 Cu 3.15, 4 P 3.15
Cu 0.2500 0.2500 0.7500 x4  4 Ac 3.15, 4 Pu 3.15
P 0.2500 0.2500 0.2500 x4  4 Ac 3.15, 4 Pu 3.15



No. 15
CoSbOs2: optimized geometry, GGA-PBE.

Computed properties:
Total moment: 0.8 μB/f.u.
VASP energy: -0.57688 Ry/atom
E_form (uncorrected): 2.29 eV per formula unit
Relative energy among the computed polymorphs: 129 meV/atom

Cell: 4.3735 4.3735 3.1088 Å, 90.00 90.00 90.00°
Closest atoms and distances in Å follow each position.
Space group P4/mmm (No. 123)
Asymmetric unit:
Co 0.0000 0.0000 0.0000 x1  8 Os 2.68
Sb 0.5000 0.5000 0.0000 x1  8 Os 2.68
Os 0.0000 0.5000 0.5000 x2  4 Co 2.68, 4 Sb 2.68



No. 16
Dy2MnNi3As4: optimized geometry, GGA-PBE.

Computed properties:
Total moment: 3.2 μB/f.u.
VASP energy: -0.45272 Ry/atom

Cell: 4.1436 4.1436 9.6504 Å, 90.00 90.00 90.00°
Closest atoms and distances in Å follow each position.
Space group P-4m2 (No. 115)
Asymmetric unit:
Dy 0.0000 0.5000 0.2428 x2  8 As 3.13-3.15, 6 Ni 3.16-3.23, 2 Mn 3.23
Mn 0.0000 0.0000 0.5000 x1  4 As 2.46
Ni 0.0000 0.5000 0.8794 x2  5 As 2.34-2.38
Ni 0.5000 0.5000 0.5000 x1  4 As 2.46
As 0.0000 0.0000 0.0000 x1  4 Ni 2.38
As 0.0000 0.5000 0.6372 x2  3 Ni 2.34-2.46, 2 Mn 2.46
As 0.5000 0.5000 0.0000 x1  4 Ni 2.38



No. 17
Zr5H12Ru2: optimized geometry, GGA-PBE.

Computed properties:
Total moment: 0.0 μB/f.u.
VASP energy: -0.41747 Ry/atom

Cell: 9.9311 5.5893 6.5675 Å, 90.00 101.99 90.00°
Closest atoms and distances in Å follow each position.
Space group C2/m (No. 12)
Asymmetric unit:
Zr 0.0000 0.0000 0.0000 x2  6 H 2.14-2.30
Zr 0.1630 0.5000 0.8708 x4  7 H 2.05-2.12
Zr 0.2265 0.5000 0.3444 x4  7 H 1.97-2.15
H 0.0208 0.5000 0.3393 x4  2 Ru 1.82, 1 Zr 2.04
H 0.0573 0.0000 0.3575 x4  2 Ru 1.80
H 0.1686 0.2407 0.1011 x8  4 Zr 2.09-2.15, 2 H 2.25-2.30
H 0.1760 0.3082 0.5993 x8  1 Ru 1.77, 1 Zr 1.97
Ru 0.0000 0.2421 0.5000 x4  6 H 1.77-1.82



No. 18
Fe11Mo6C5: optimized geometry, GGA-PBE.

Computed properties:
Total moment: 11.1 μB/f.u.
VASP energy: -0.68231 Ry/atom

Cell: 10.9803 7.6438 6.5478 Å, 90.00 120.62 90.00°
Closest atoms and distances in Å follow each position.
Space group C2/m (No. 12)
Asymmetric unit:
Fe 0.0000 0.0000 0.0000 x2  6 Fe 2.48, 6 Mo 2.70-2.77
Fe 0.0000 0.3349 0.5000 x4  2 C 1.97
Fe 0.1345 0.5000 0.3373 x4  1 C 1.93
Fe 0.1429 0.1644 0.3749 x8  2 C 1.98-2.08
Fe 0.2377 0.5000 0.7956 x4  2 C 1.93
Mo 0.1155 0.3012 0.9609 x8  2 C 2.08-2.19
Mo 0.1194 0.0000 0.7152 x4  2 C 2.20
C 0.0000 0.5000 0.0000 x2  2 Fe 1.93, 4 Mo 2.08
C 0.1987 0.2589 0.6924 x8  4 Fe 1.93-2.08



No. 19
Ce2HoThTe5: optimized geometry, GGA-PBE.

Computed properties:
Total moment: 4.0 μB/f.u.
VASP energy: -0.37473 Ry/atom
E_form (uncorrected): -6.31 eV per formula unit

Cell: 5.4770 5.4770 11.8078 Å, 90.00 90.00 90.00°
Closest atoms and distances in Å follow each position.
Space group P4/mmm (No. 123)
Asymmetric unit:
Ce 0.0000 0.0000 0.1657 x2  4 Te 3.37
Ho 0.5000 0.5000 0.0000 x1  6 Te 2.74-2.97
Th 0.5000 0.5000 0.5000 x1  2 Te 2.93
Te 0.0000 0.0000 0.5000 x1  4 Th 3.87, 2 Ce 3.95
Te 0.0000 0.5000 0.0000 x2  2 Ho 2.74
Te 0.5000 0.5000 0.2517 x2  1 Th 2.93, 1 Ho 2.97



No. 20
Li2CaRe: optimized geometry, GGA-PBE.

Computed properties:
Total moment: 0.0 μB/f.u.
VASP energy: -0.29501 Ry/atom
Relative energy among the computed polymorphs: 83 meV/atom

Cell: 2.7311 5.2841 11.0219 Å, 90.00 90.00 90.00°
Closest atoms and distances in Å follow each position.
Space group Immm (No. 71)
Asymmetric unit:
Li 0.0000 0.0000 0.2160 x4  2 Li 2.73, 2 Re 2.75
Ca 0.0000 0.5000 0.0000 x2  2 Ca 2.73, 4 Re 2.97
Re 0.0000 0.5000 0.5000 x2  2 Re 2.73, 4 Li 2.75, 4 Ca 2.97